(1)
Computed, not measured: a relaxed DyHfTe3 crystal at the GGA-PBE level of DFT.

Properties
* uncorrected formation energy: -0.956 eV/atom

abc: 4.091 9.087 15.104
angles: 90.00 90.00 90.00
Fractional coordinates of all 20 atoms:
1 Dy 0.750 0.089 0.667
2 Te 0.250 0.151 0.511
3 Te 0.750 0.697 0.204
4 Te 0.250 0.028 0.134
5 Te 0.750 0.197 0.296
6 Te 0.750 0.472 0.634
7 Dy 0.250 0.411 0.167
8 Hf 0.750 0.864 0.039
9 Te 0.750 0.349 0.011
10 Te 0.750 0.972 0.866
11 Te 0.250 0.651 0.989
12 Hf 0.250 0.636 0.539
13 Te 0.250 0.803 0.704
14 Te 0.250 0.303 0.796
15 Hf 0.250 0.136 0.961
16 Dy 0.250 0.911 0.333
17 Dy 0.750 0.589 0.833
18 Te 0.750 0.849 0.489
19 Hf 0.750 0.364 0.461
20 Te 0.250 0.528 0.366

(2)
Computed, not measured: a relaxed DyHfTe4 crystal at the GGA-PBE level of DFT.

Properties
* relative energy among the computed polymorphs: 0 meV per atom
* uncorrected formation energy: -0.916 eV/atom

abc: 4.118 7.978 7.247
angles: 63.48 90.00 90.00
Fractional coordinates of all 6 atoms:
1 Te 0.500 0.750 0.309
2 Te 0.500 0.250 0.691
3 Te 0.000 0.243 0.228
4 Dy 0.000 0.000 0.000
5 Hf 0.500 0.000 0.500
6 Te 0.000 0.757 0.772

(3)
Computed, not measured: a relaxed Dy2HfTe6 crystal at the GGA-PBE level of DFT.

Properties
* uncorrected formation energy: -0.848 eV/atom

abc: 7.122 7.122 12.982
angles: 90.00 90.00 90.00
Fractional coordinates of all 18 atoms:
1 Te 0.200 0.800 0.844
2 Te 0.300 0.300 0.656
3 Dy 0.000 0.000 0.669
4 Te 0.800 0.200 0.844
5 Te 0.300 0.300 0.344
6 Dy 0.500 0.500 0.831
7 Te 0.713 0.713 0.000
8 Te 0.213 0.787 0.500
9 Te 0.200 0.800 0.156
10 Dy 0.000 0.000 0.331
11 Te 0.787 0.213 0.500
12 Hf 0.000 0.000 0.000
13 Te 0.700 0.700 0.656
14 Dy 0.500 0.500 0.169
15 Te 0.800 0.200 0.156
16 Te 0.700 0.700 0.344
17 Te 0.287 0.287 0.000
18 Hf 0.500 0.500 0.500

(4)
Computed, not measured: a relaxed Dy2Hf2Te7 crystal at the GGA-PBE level of DFT.

Properties
* uncorrected formation energy: -0.877 eV/atom

abc: 7.554 7.983 7.983
angles: 112.36 93.67 93.67
Fractional coordinates of all 11 atoms:
1 Te 0.246 0.417 0.417
2 Dy 0.500 0.313 0.687
3 Hf 0.887 0.279 0.279
4 Te 0.271 0.953 0.577
5 Te 0.729 0.423 0.047
6 Hf 0.113 0.721 0.721
7 Te 0.729 0.047 0.423
8 Te 0.000 0.000 0.000
9 Dy 0.500 0.687 0.313
10 Te 0.754 0.583 0.583
11 Te 0.271 0.577 0.953

The records above yield raw total energy values of -5.75 -5.44 -5.07 -5.52 eV/atom, respectively.